1.
DFT (PBE) results for a relaxed structure of NdHo3Th2P6.

It has space group C2/m (No. 12), with a = 17.7183 Å, b = 4.0803 Å, c = 8.1220 Å, α = 90.00°, β = 102.97° and γ = 90.00°. The inequivalent atoms are Nd at (0.0000, 0.0000, 0.0000), Ho at (0.0000, 0.0000, 0.5000), Ho at (0.1655, 0.5000, 0.8336), Th at (0.1655, 0.5000, 0.3309), P at (0.0014, 0.5000, 0.7427), P at (0.1652, 0.0000, 0.5874) and P at (0.1695, 0.0000, 0.0794).

Its crystal system is monoclinic. For the total magnetization, the calculation gives 0.00 μB/f.u. The calculation puts the formation enthalpy at 0 K at -1.589 eV/atom. The density of states at the Fermi level is 0.3101 states/eV per atom.


2.
DFT (PBE) results for a relaxed structure of NdHo2TmP4.

It has space group P2/m (No. 10), with a = 6.9685 Å, b = 4.0267 Å, c = 6.9696 Å, α = 90.00°, β = 109.47° and γ = 90.00°. The inequivalent atoms are Nd at (0.0000, 0.0000, 0.0000), Ho at (0.0000, 0.5000, 0.5000), Ho at (0.5000, 0.0000, 0.5000), Tm at (0.5000, 0.5000, 0.0000), P at (0.2552, 0.0000, 0.7480) and P at (0.2582, 0.5000, 0.2565).

Its crystal system is monoclinic. For the total magnetization, the calculation gives 0.00 μB/f.u. The calculation puts the formation enthalpy at 0 K at -1.579 eV/atom. The density of states at the Fermi level is 0.0980 states/eV per atom.


3.
DFT (PBE) results for a relaxed structure of Nd2HoUP4.

It has space group P2/m (No. 10), with a = 7.0103 Å, b = 4.0444 Å, c = 7.0448 Å, α = 90.00°, β = 109.17° and γ = 90.00°. The inequivalent atoms are Nd at (0.0000, 0.0000, 0.0000), Nd at (0.5000, 0.5000, 0.0000), Ho at (0.0000, 0.5000, 0.5000), U at (0.5000, 0.0000, 0.5000), P at (0.2508, 0.0000, 0.7339) and P at (0.2590, 0.5000, 0.2668).

Its crystal system is monoclinic. For the total magnetization, the calculation gives 2.02 μB/f.u. The calculation puts the formation enthalpy at 0 K at -1.413 eV/atom. The density of states at the Fermi level is 0.8896 states/eV per atom.


4.
DFT (PBE) results for a relaxed structure of NdHo2UP4.

It has space group P2/m (No. 10), with a = 6.9400 Å, b = 4.0045 Å, c = 6.9652 Å, α = 90.00°, β = 109.25° and γ = 90.00°. The inequivalent atoms are Nd at (0.0000, 0.0000, 0.0000), Ho at (0.5000, 0.0000, 0.5000), Ho at (0.5000, 0.5000, 0.0000), U at (0.0000, 0.5000, 0.5000), P at (0.2497, 0.0000, 0.7419) and P at (0.2532, 0.5000, 0.2621).

Its crystal system is monoclinic. For the total magnetization, the calculation gives 2.12 μB/f.u. The calculation puts the formation enthalpy at 0 K at -1.420 eV/atom. The density of states at the Fermi level is 0.9126 states/eV per atom.